1.
The following is a DFT calculation (PBE) of a geometry-optimized ZrMnBi3 structure.

```
ZrMnBi3
1.0
5.2431 0.0000 0.0000
0.0000 5.2431 0.0000
0.0000 0.0000 5.2431
Bi Zr Mn
3 1 1
Cartesian
0.0000 2.6215 0.0000
2.6215 0.0000 0.0000
0.0000 0.0000 2.6215
2.6215 2.6215 2.6215
0.0000 0.0000 0.0000
```

The offset from the most stable computed form is 0.0000 eV/atom. The value obtained for the calculated volume is 144.1 Å³ per cell. The value obtained for the formation energy is 0.5989 eV/atom. Its total DFT energy (no corrections) is -26.37 eV per formula unit. The space group is Pm-3m (221).

---

2.
The following is a DFT calculation (PBE) of a geometry-optimized Cs6K7Rb16 structure.

```
Cs6K7Rb16
1.0
-14.6849 3.3423 4.4064
-4.7891 -3.3923 14.5530
-2.6708 11.5556 10.2746
Rb K Cs
16 7 6
Cartesian
-9.7226 9.8412 16.0142
-3.6976 1.9211 4.8813
-16.8567 10.7111 19.5196
-8.4645 4.3978 11.1742
-11.4243 8.7057 11.2044
-10.7205 2.7998 18.0296
-5.2881 0.7945 9.7145
-13.6803 7.1077 18.0598
-15.3820 5.9722 13.2499
-8.5746 3.0311 6.3447
-17.5602 5.7467 20.9404
-12.4222 1.6643 13.2198
-18.4472 9.5844 24.3527
-13.5702 8.4744 22.8893
-6.7628 5.5333 15.9841
-4.5846 5.7588 8.2936
-1.3354 5.7778 5.1373
-7.3424 1.6711 2.2032
-2.3946 -1.6962 7.2765
-8.6778 7.4489 7.3405
-11.0724 5.7528 14.6170
-9.7370 -0.0250 9.4797
-3.7300 4.0816 12.4138
-16.0961 2.2830 17.2135
-13.2324 4.3115 8.5117
-14.8294 11.2210 14.6553
-8.9124 7.1941 20.7223
-6.0487 9.2225 12.0205
-7.3154 0.2846 14.5787
```

The value obtained for the calculated volume is 2732.2 Å³ per cell. The value obtained for the formation energy is 0.0162 eV/atom. Its total DFT energy (no corrections) is -27.81 eV per formula unit. The space group is Fm-3m (225).

---

3.
The following is a DFT calculation (PBE) of a geometry-optimized ErAl2Ni structure.

```
ErAl2Ni
1.0
-2.0110 -0.9655 3.4402
1.6720 -2.6038 2.6900
2.1056 2.7033 4.4329
Er Ni Al
1 1 2
Cartesian
0.8833 -0.4330 5.2815
0.0000 0.0000 0.0000
0.1619 -0.7074 2.3395
1.6047 -0.1587 8.2236
```

The value obtained for the calculated volume is 73.9 Å³ per cell. The value obtained for the formation energy is -0.4873 eV/atom. Its total DFT energy (no corrections) is -19.78 eV per formula unit. The space group is R-3m (166).